Material: CsSe2N6
Method: DFT, PBE
State: optimized geometry

Cell: 6.951 16.883 4.708 Å, 147.03 90.00 101.88°
Each line ends with the local moment (μB).
Element x y z (fractional)
1 N 0.987 0.514 0.654  0.01
2 N 0.527 0.514 0.654  0.01
3 Cs 0.000 0.000 0.000  0.01
4 Se 0.419 0.838 0.998  0.17
5 N 0.682 0.000 0.500  0.07
6 Se 0.581 0.162 0.002  0.17
7 N 0.013 0.486 0.346  0.01
8 N 0.473 0.486 0.346  0.01
9 N 0.318 0.000 0.500  0.07

The value obtained for the energy relative to the elements, uncorrected is 0.260 eV per atom. The value obtained for the calculated total energy is -55.43 eV per formula unit.